[1]
Computed, not measured: an optimized crystal structure of Rb3CoTe at the PBE level of DFT.

Output
Theoretical density, g cm⁻³: 2.2
Energy above the lowest structure with this stoichiometry, eV per atom: 0.000
Raw formation energy, eV per atom: 0.167
Density of states at the Fermi level, states/eV per atom: 0.00

Lattice parameters (Å, degrees): 6.9634 6.9634 6.9634 90.00 90.00 90.00
With the nearest neighbours (Å) after each atom.
Space group Pm-3m (No. 221)
One atom of each set of equivalent atoms:
Rb 0.0000 0.0000 0.5000 x3  2 Te 3.48
Co 0.5000 0.5000 0.5000 x1  12 Rb 4.92
Te 0.0000 0.0000 0.0000 x1  6 Rb 3.48

[2]
Computed, not measured: an optimized crystal structure of Zn2IrI8 at the PBE level of DFT.

Output
Theoretical density, g cm⁻³: 4.6
Raw formation energy, eV per atom: -0.284
Density of states at the Fermi level, states/eV per atom: 0.76

Lattice parameters (Å, degrees): 11.3757 12.5079 6.9169 90.00 100.17 90.00
With the nearest neighbours (Å) after each atom.
Space group C2/m (No. 12)
One atom of each set of equivalent atoms:
Zn 0.2173 0.0000 0.1443 x4  4 I 2.63-2.67
Ir 0.0000 0.0000 0.5000 x2  6 I 2.70-2.71
I 0.0491 0.5000 0.7556 x4  1 Zn 2.63
I 0.0953 0.1510 0.2960 x8  1 Zn 2.67, 1 Ir 2.70
I 0.2087 0.0000 0.7586 x4  1 Zn 2.65, 1 Ir 2.71